VASP calculation (GGA-PBE) on a relaxed structure of Ce2SmHoBi5.

Unit cell a=5.544 b=5.544 c=11.864 alpha=90.00 beta=90.00 gamma=90.00
Fractional positions:
Ce1 0.000 0.000 0.216
Ce2 0.000 0.000 0.784
Sm1 0.500 0.500 0.000
Ho1 0.500 0.500 0.500
Bi1 0.000 0.000 0.500
Bi2 0.000 0.500 0.000
Bi3 0.500 0.000 0.000
Bi4 0.500 0.500 0.255
Bi5 0.500 0.500 0.745

Computed properties:
The space-group type is P4/mmm (123). For the formation enthalpy at 0 K, the calculation gives -0.03 eV/atom. The value obtained for the density is 7.47 g cm⁻³.